Below is a geometry-optimized Er3Zr3NbN8 structure, with properties calculated at the GGA-PBE level.

```
data_Er3Zr3NbN8
_chemical_formula_sum 'Er3 Zr3 Nb1 N8'
_symmetry_space_group_name_H-M 'P 1'
_symmetry_Int_Tables_number 1
_cell_length_a 6.653
_cell_length_b 6.653
_cell_length_c 6.653
_cell_angle_alpha 58.81
_cell_angle_beta 58.81
_cell_angle_gamma 58.81
loop_
_symmetry_equiv_pos_as_xyz
'x,y,z'
loop_
_atom_site_label
_atom_site_fract_x
_atom_site_fract_y
_atom_site_fract_z
Er1 0.000 0.500 0.500
Er2 0.500 0.000 0.500
Er3 0.500 0.500 0.000
Zr1 0.000 0.000 0.500
Zr2 0.000 0.500 0.000
Zr3 0.500 0.000 0.000
Nb1 0.500 0.500 0.500
N1 0.246 0.246 0.246
N2 0.258 0.732 0.732
N3 0.268 0.268 0.742
N4 0.268 0.742 0.268
N5 0.732 0.258 0.732
N6 0.732 0.732 0.258
N7 0.742 0.268 0.268
N8 0.754 0.754 0.754
```

Space group: R-3m, No. 166
Magnetic moment in μB/f.u.: 0.0
E_form (uncorrected) in eV per atom: -1.55

Below is a geometry-optimized Nd2ErN structure, with properties calculated at the GGA-PBE level.

```
data_Nd2ErN
_chemical_formula_sum 'Nd2 Er1 N1'
_symmetry_space_group_name_H-M 'P 1'
_symmetry_Int_Tables_number 1
_cell_length_a 9.873
_cell_length_b 9.873
_cell_length_c 9.873
_cell_angle_alpha 20.85
_cell_angle_beta 20.85
_cell_angle_gamma 20.85
loop_
_symmetry_equiv_pos_as_xyz
'x,y,z'
loop_
_atom_site_label
_atom_site_fract_x
_atom_site_fract_y
_atom_site_fract_z
Nd1 0.119 0.119 0.119
Nd2 0.881 0.881 0.881
Er1 0.000 0.000 0.000
N1 0.500 0.500 0.500
```

Space group: R-3m, No. 166
Magnetic moment in μB/f.u.: 0.0
E_form (uncorrected) in eV per atom: -0.53

Below is a geometry-optimized NdEr3N4 structure, with properties calculated at the GGA-PBE level.

```
data_NdEr3N4
_chemical_formula_sum 'Nd2 Er6 N8'
_symmetry_space_group_name_H-M 'P 1'
_symmetry_Int_Tables_number 1
_cell_length_a 6.040
_cell_length_b 6.981
_cell_length_c 6.038
_cell_angle_alpha 90.00
_cell_angle_beta 109.48
_cell_angle_gamma 90.00
loop_
_symmetry_equiv_pos_as_xyz
'x,y,z'
loop_
_atom_site_label
_atom_site_fract_x
_atom_site_fract_y
_atom_site_fract_z
Nd1 0.000 0.127 0.250
Nd2 0.000 0.873 0.750
Er1 0.000 0.377 0.750
Er2 0.000 0.623 0.250
Er3 0.500 0.129 0.750
Er4 0.500 0.377 0.250
Er5 0.500 0.623 0.750
Er6 0.500 0.871 0.250
N1 0.253 0.379 0.507
N2 0.253 0.621 0.007
N3 0.261 0.133 0.998
N4 0.261 0.867 0.498
N5 0.739 0.133 0.502
N6 0.739 0.867 0.002
N7 0.747 0.379 0.993
N8 0.747 0.621 0.493
```

Space group: P2/c, No. 13
Magnetic moment in μB/f.u.: 0.0
E_form (uncorrected) in eV per atom: -1.65

Below is a geometry-optimized NdEr2N structure, with properties calculated at the GGA-PBE level.

```
data_NdEr2N
_chemical_formula_sum 'Nd1 Er2 N1'
_symmetry_space_group_name_H-M 'P 1'
_symmetry_Int_Tables_number 1
_cell_length_a 9.762
_cell_length_b 9.762
_cell_length_c 9.762
_cell_angle_alpha 20.21
_cell_angle_beta 20.21
_cell_angle_gamma 20.21
loop_
_symmetry_equiv_pos_as_xyz
'x,y,z'
loop_
_atom_site_label
_atom_site_fract_x
_atom_site_fract_y
_atom_site_fract_z
Nd1 0.000 0.000 0.000
Er1 0.121 0.121 0.121
Er2 0.879 0.879 0.879
N1 0.500 0.500 0.500
```

Space group: R-3m, No. 166
Energy above the most stable polymorph in this dataset in meV/atom: 0
Magnetic moment in μB/f.u.: 0.0
E_form (uncorrected) in eV per atom: -0.72